Density functional theory data (GGA-PBE) for a geometry-optimized CeLuGa2 structure.

Its final energy is -4.45 eV/atom. The total magnetic moment is 0.411 μB/f.u.

It has space group R-3m (No. 166, hexagonal axes), with a = 3.5172 Å, b = 3.5172 Å, c = 27.1494 Å, α = 90.00°, β = 90.00° and γ = 120.00°. The asymmetric unit holds Ce at (0.0000, 0.0000, 0.0000), Lu at (0.0000, 0.0000, 0.5000) and Ga at (0.0000, 0.0000, 0.2468).